Record 1
Sm4ErTl5: optimized geometry, PBE-GGA.

The volume comes out at 28.4 Å³ per atom. The value obtained for the uncorrected energy is -3.894 eV/atom. The calculation puts the calculated formation energy at -35.4 kJ per mole of atoms.

It has space group P4/mmm (No. 123), with a = 3.8021 Å, b = 3.8021 Å, c = 19.6418 Å, α = 90.00°, β = 90.00° and γ = 90.00°. Symmetry generates all atoms from Sm at (0.0000, 0.0000, 0.1017), Sm at (0.0000, 0.0000, 0.3048), Er at (0.0000, 0.0000, 0.5000), Tl at (0.5000, 0.5000, 0.0000), Tl at (0.5000, 0.5000, 0.2036) and Tl at (0.5000, 0.5000, 0.4064).

---

Record 2
Sm2ErTl2: optimized geometry, PBE-GGA.

The volume comes out at 29.2 Å³ per atom. The value obtained for the uncorrected energy is -4.025 eV/atom. For the energy above the most stable polymorph in this dataset, the calculation gives 0 meV per atom. The calculation puts the calculated formation energy at -26.9 kJ per mole of atoms.

It has space group P2_1/m (No. 11), with a = 3.7887 Å, b = 5.4139 Å, c = 14.3398 Å, α = 90.00°, β = 97.62° and γ = 90.00°. Symmetry generates all atoms from Sm at (0.0484, 0.2500, 0.0966), Sm at (0.2390, 0.2500, 0.4762), Er at (0.1484, 0.7500, 0.2991), Tl at (0.3565, 0.7500, 0.7110) and Tl at (0.4485, 0.2500, 0.8969).

---

Record 3
Sm3Er3Tl: optimized geometry, PBE-GGA.

The volume comes out at 30.8 Å³ per atom. The value obtained for the uncorrected energy is -4.387 eV/atom. The calculation puts the calculated formation energy at -6.9 kJ per mole of atoms.

It has space group P6_3/m (No. 176), with a = 9.4640 Å, b = 9.4640 Å, c = 5.5589 Å, α = 90.00°, β = 90.00° and γ = 120.00°. Symmetry generates all atoms from Sm at (0.1073, 0.4757, 0.2500), Er at (0.0602, 0.2360, 0.7500) and Tl at (0.3333, 0.6667, 0.7500).

---

Record 4
Sm2ErTl4: optimized geometry, PBE-GGA.

The volume comes out at 37.2 Å³ per atom. The value obtained for the uncorrected energy is -3.206 eV/atom. For the energy above the most stable polymorph in this dataset, the calculation gives 374 meV per atom. The calculation puts the calculated formation energy at 14.1 kJ per mole of atoms.

It has space group I4/mmm (No. 139), with a = 5.7524 Å, b = 5.7524 Å, c = 15.7235 Å, α = 90.00°, β = 90.00° and γ = 90.00°. Symmetry generates all atoms from Sm at (0.0000, 0.0000, 0.1026), Er at (0.0000, 0.0000, 0.5000), Tl at (0.0000, 0.0000, 0.3054) and Tl at (0.0000, 0.5000, 0.0000).

---

Question: calculated formation energy of number 3 (Sm3Er3Tl)?
Answer: -6.9 kJ per mole of atoms

---

Question: Among the records above, which one has the lowest uncorrected energy?
Answer: Sm3Er3Tl